Material: AlCuTcPd
Method: DFT, GGA-PBE
State: relaxed

Calculated values
Mass density   8.5 g/cm³
Calculated volume   14.34 Å³ per atom
Distance to the lowest polymorph of the same formula   0 meV/atom

a b c (Å): 6.122 6.122 6.122
angles (deg): 90.00 90.00 90.00
Space group F-43m (No. 216)
Symmetry-distinct sites (fractional):
Al: 0.000 0.000 0.000 x4
Cu: 0.250 0.250 0.250 x4
Tc: 0.250 0.250 0.750 x4
Pd: 0.000 0.000 0.500 x4

=====

Material: Zr2AlTlCu2Pd2
Method: DFT, GGA-PBE
State: relaxed

Calculated values
Mass density   9.2 g/cm³
Calculated total energy   -44.51 eV/cell
Calculated volume   17.03 Å³ per atom

a b c (Å): 4.569 4.569 6.525
angles (deg): 90.00 90.00 90.00
Space group P-4m2 (No. 115)
Symmetry-distinct sites (fractional):
Zr: 0.000 0.000 0.000 x1
Zr: 0.500 0.500 0.500 x1
Al: 0.000 0.000 0.500 x1
Tl: 0.500 0.500 0.000 x1
Cu: 0.000 0.500 0.267 x2
Pd: 0.000 0.500 0.727 x2

=====

Material: YTm2Al3Cu2Pd
Method: DFT, GGA-PBE
State: relaxed

Calculated values
Mass density   7.1 g/cm³
Calculated total energy   -89.18 eV/cell
Calculated volume   19.14 Å³ per atom

a b c (Å): 4.066 12.127 6.989
angles (deg): 90.00 90.00 90.00
Space group Amm2 (No. 38)
Symmetry-distinct sites (fractional):
Y: 0.000 0.000 0.000 x2
Tm: 0.000 0.209 0.373 x4
Al: 0.500 0.000 0.341 x2
Al: 0.500 0.120 0.701 x4
Cu: 0.500 0.169 0.082 x4
Pd: 0.000 0.000 0.577 x2

=====

Material: AlCuPdW
Method: DFT, GGA-PBE
State: relaxed

Calculated values
Mass density   10.8 g/cm³
Calculated volume   14.70 Å³ per atom
Distance to the lowest polymorph of the same formula   46 meV/atom

a b c (Å): 6.173 6.173 6.173
angles (deg): 90.00 90.00 90.00
Space group F-43m (No. 216)
Symmetry-distinct sites (fractional):
Al: 0.000 0.000 0.000 x4
Cu: 0.250 0.250 0.250 x4
Pd: 0.000 0.000 0.500 x4
W: 0.250 0.250 0.750 x4

=====

Material: AlCuPdW
Method: DFT, GGA-PBE
State: relaxed

Calculated values
Mass density   10.8 g/cm³
Calculated volume   14.69 Å³ per atom
Distance to the lowest polymorph of the same formula   0 meV/atom

a b c (Å): 6.172 6.172 6.172
angles (deg): 90.00 90.00 90.00
Space group F-43m (No. 216)
Symmetry-distinct sites (fractional):
Al: 0.000 0.000 0.000 x4
Cu: 0.250 0.250 0.250 x4
Pd: 0.250 0.250 0.750 x4
W: 0.000 0.000 0.500 x4

=====

Material: Y3Al3CuPd2
Method: DFT, GGA-PBE
State: relaxed

Calculated values
Mass density   5.8 g/cm³
Calculated total energy   -51.40 eV/cell
Calculated volume   19.74 Å³ per atom

a b c (Å): 7.1184 7.1184 4.0484
angles (deg): 90.00 90.00 120.00
Space group P-62m (No. 189)
Symmetry-distinct sites (fractional):
Y: 0.0000 0.5886 0.0000 x3
Al: 0.0000 0.2325 0.5000 x3
Cu: 0.0000 0.0000 0.0000 x1
Pd: 0.3333 0.6667 0.5000 x2

=====

Material: ZrAlCuPd
Method: DFT, GGA-PBE
State: relaxed

Calculated values
Mass density   7.2 g/cm³
Calculated total energy   -46.94 eV/cell
Calculated volume   16.52 Å³ per atom

a b c (Å): 4.2824 4.2824 8.3232
angles (deg): 90.00 90.00 120.00
Space group P-3m1 (No. 164)
Symmetry-distinct sites (fractional):
Zr: 0.3333 0.6667 0.2440 x2
Al: 0.0000 0.0000 0.0000 x1
Al: 0.0000 0.0000 0.5000 x1
Cu: 0.3333 0.6667 0.9158 x2
Pd: 0.3333 0.6667 0.5897 x2

=====

Material: ZrAlCuPd
Method: DFT, GGA-PBE
State: relaxed

Calculated values
Mass density   7.2 g/cm³
Calculated total energy   -46.99 eV/cell
Calculated volume   16.63 Å³ per atom

a b c (Å): 4.2893 4.2893 8.3494
angles (deg): 90.00 90.00 120.00
Space group P-6m2 (No. 187)
Symmetry-distinct sites (fractional):
Zr: 0.0000 0.0000 0.0000 x1
Zr: 0.3333 0.6667 0.5000 x1
Al: 0.6667 0.3333 0.2625 x2
Cu: 0.0000 0.0000 0.3416 x2
Pd: 0.3333 0.6667 0.1701 x2

=====

Material: Zr3Al3Cu2Pd
Method: DFT, GGA-PBE
State: relaxed

Calculated values
Mass density   6.3 g/cm³
Calculated total energy   -54.24 eV/cell
Calculated volume   17.11 Å³ per atom

a b c (Å): 6.9911 6.9911 3.6372
angles (deg): 90.00 90.00 120.00
Space group P-62m (No. 189)
Symmetry-distinct sites (fractional):
Zr: 0.0000 0.4060 0.0000 x3
Al: 0.0000 0.7391 0.5000 x3
Cu: 0.3333 0.6667 0.5000 x2
Pd: 0.0000 0.0000 0.0000 x1

=====

Material: Zr3Al3CuPd2
Method: DFT, GGA-PBE
State: relaxed

Calculated values
Mass density   6.6 g/cm³
Calculated total energy   -56.60 eV/cell
Calculated volume   17.59 Å³ per atom

a b c (Å): 7.1712 7.1712 3.5539
angles (deg): 90.00 90.00 120.00
Space group P-62m (No. 189)
Symmetry-distinct sites (fractional):
Zr: 0.0000 0.3956 0.0000 x3
Al: 0.0000 0.7489 0.5000 x3
Cu: 0.0000 0.0000 0.0000 x1
Pd: 0.3333 0.6667 0.5000 x2

=====

Material: Zr2Al2Cu3Pd
Method: DFT, GGA-PBE
State: relaxed

Calculated values
Mass density   6.9 g/cm³
Calculated total energy   -44.59 eV/cell
Calculated volume   15.99 Å³ per atom

a b c (Å): 4.2623 4.2623 8.1320
angles (deg): 90.00 90.00 120.00
Space group P3m1 (No. 156)
Symmetry-distinct sites (fractional):
Zr: 0.0000 0.0000 0.0000 x1
Zr: 0.3333 0.6667 0.4905 x1
Al: 0.6667 0.3333 0.2483 x1
Al: 0.6667 0.3333 0.7425 x1
Cu: 0.0000 0.0000 0.3348 x1
Cu: 0.0000 0.0000 0.6563 x1
Cu: 0.3333 0.6667 0.1608 x1
Pd: 0.3333 0.6667 0.8290 x1

=====

Material: ZrAlCuPd
Method: DFT, GGA-PBE
State: relaxed

Calculated values
Mass density   7.2 g/cm³
Calculated total energy   -46.97 eV/cell
Calculated volume   16.55 Å³ per atom

a b c (Å): 4.3024 4.3024 8.2591
angles (deg): 90.00 90.00 120.00
Space group P6_3mc (No. 186)
Symmetry-distinct sites (fractional):
Zr: 0.3333 0.6667 0.0000 x2
Al: 0.0000 0.0000 0.2510 x2
Cu: 0.3333 0.6667 0.6659 x2
Pd: 0.3333 0.6667 0.3360 x2

=====

What did the tenth record say?
Material: Zr3Al3CuPd2
Method: DFT, GGA-PBE
State: relaxed

Calculated values
Mass density   6.6 g/cm³
Calculated total energy   -56.60 eV/cell
Calculated volume   17.59 Å³ per atom

a b c (Å): 7.1712 7.1712 3.5539
angles (deg): 90.00 90.00 120.00
Space group P-62m (No. 189)
Symmetry-distinct sites (fractional):
Zr: 0.0000 0.3956 0.0000 x3
Al: 0.0000 0.7489 0.5000 x3
Cu: 0.0000 0.0000 0.0000 x1
Pd: 0.3333 0.6667 0.5000 x2

=====

What is the mass density in the eleventh record? 6.9 g/cm³